[1]
Here is a relaxed structure of Ca8Ag2Pt3 from the Alexandria database. Energies are from PBE.

Computed properties:
Calculated volume ... 28.331 A^3/atom
ΔE_f ... -7.341 eV per formula unit
ρ ... 5.1 Mg/m³

```
data_Ca8Ag2Pt3
_chemical_formula_sum 'Ca8 Ag2 Pt3'
_space_group_name_H-M_alt 'P 1 2/m 1'
_space_group_IT_number 10
_cell_length_a 8.822
_cell_length_b 5.029
_cell_length_c 8.848
_cell_angle_alpha 90.00
_cell_angle_beta 110.23
_cell_angle_gamma 90.00
loop_
_space_group_symop_operation_xyz
'x,y,z'
'-x,-y,-z'
'-x,y,-z'
'x,-y,z'
loop_
_atom_site_label
_atom_site_type_symbol
_atom_site_fract_x
_atom_site_fract_y
_atom_site_fract_z
_atom_site_occupancy
Ca1 Ca 0.116 0.000 0.385 1
Ca2 Ca 0.131 0.500 0.863 1
Ca3 Ca 0.364 0.500 0.631 1
Ca4 Ca 0.383 0.000 0.117 1
Ag1 Ag 0.250 0.500 0.250 1
Pt1 Pt 0.000 0.500 0.500 1
Pt2 Pt 0.255 0.000 0.755 1
```

=====

[2]
Here is a relaxed structure of Er2Ga6Cu from the Alexandria database. Energies are from PBE.

Computed properties:
Calculated volume ... 19.733 A^3/atom
ΔE_f ... -3.142 eV per formula unit
ρ ... 7.6 Mg/m³

```
data_Er2Ga6Cu
_chemical_formula_sum 'Er4 Ga12 Cu2'
_space_group_name_H-M_alt 'A m m 2'
_space_group_IT_number 38
_cell_length_a 3.701
_cell_length_b 4.181
_cell_length_c 22.956
_cell_angle_alpha 90.00
_cell_angle_beta 90.00
_cell_angle_gamma 90.00
loop_
_space_group_symop_operation_xyz
'x,y,z'
'-x,-y,z'
'-x,y,z'
'x,-y,z'
'x,y+1/2,z+1/2'
'-x,-y+1/2,z+1/2'
'-x,y+1/2,z+1/2'
'x,-y+1/2,z+1/2'
loop_
_atom_site_label
_atom_site_type_symbol
_atom_site_fract_x
_atom_site_fract_y
_atom_site_fract_z
_atom_site_occupancy
Er1 Er 0.000 0.000 0.000 1
Er2 Er 0.000 0.000 0.334 1
Ga1 Ga 0.000 0.000 0.624 1
Ga2 Ga 0.000 0.000 0.739 1
Ga3 Ga 0.500 0.000 0.112 1
Ga4 Ga 0.500 0.000 0.224 1
Ga5 Ga 0.500 0.000 0.444 1
Ga6 Ga 0.500 0.000 0.881 1
Cu1 Cu 0.500 0.000 0.549 1
```

=====

[3]
Here is a relaxed structure of GaFe2Se2 from the Alexandria database. Energies are from PBE.

Computed properties:
Calculated volume ... 18.207 A^3/atom
ρ ... 6.2 Mg/m³
Uncorrected energy ... -5.4775 eV per atom

```
data_GaFe2Se2
_chemical_formula_sum 'Ga2 Fe4 Se4'
_space_group_name_H-M_alt 'I 4/m m m'
_space_group_IT_number 139
_space_group_name_Hall '-I 4 2'
_cell_length_a 3.801
_cell_length_b 3.801
_cell_length_c 12.599
_cell_angle_alpha 90.00
_cell_angle_beta 90.00
_cell_angle_gamma 90.00
loop_
_atom_site_label
_atom_site_type_symbol
_atom_site_fract_x
_atom_site_fract_y
_atom_site_fract_z
_atom_site_occupancy
Ga1 Ga 0.000 0.000 0.000 1
Fe1 Fe 0.000 0.500 0.250 1
Se1 Se 0.000 0.000 0.354 1
```